(1)
A plane-wave DFT calculation with PBEsol was carried out for an optimized crystal structure of Fe2Os3.

Geometry as CIF:
```
data_Fe2Os3
_space_group_name_H-M_alt 'P -3 m 1'
_space_group_IT_number 164
_space_group_name_Hall '-P 3 2"'
_cell_length_a 3.9868
_cell_length_b 3.9868
_cell_length_c 5.0104
_cell_angle_alpha 90.00
_cell_angle_beta 90.00
_cell_angle_gamma 120.00
loop_
_atom_site_label
_atom_site_type_symbol
_atom_site_fract_x
_atom_site_fract_y
_atom_site_fract_z
_atom_site_occupancy
Fe1 Fe 0.3333 0.6667 0.3345 1
Os1 Os 0.0000 0.0000 0.5000 1
Os2 Os 0.3333 0.6667 0.8537 1
```

## Properties
The formation energy is 599.4 meV per atom. The value obtained for the final energy is -51.6 eV for the cell shown.

***

(2)
A plane-wave DFT calculation with PBEsol was carried out for an optimized crystal structure of FeOs2.

Geometry as CIF:
```
data_FeOs2
_space_group_name_H-M_alt 'C 1 2/m 1'
_space_group_IT_number 12
_cell_length_a 9.508
_cell_length_b 2.671
_cell_length_c 6.193
_cell_angle_alpha 90.00
_cell_angle_beta 104.02
_cell_angle_gamma 90.00
loop_
_space_group_symop_operation_xyz
'x,y,z'
'-x,-y,-z'
'-x,y,-z'
'x,-y,z'
'x+1/2,y+1/2,z'
'-x+1/2,-y+1/2,-z'
'-x+1/2,y+1/2,-z'
'x+1/2,-y+1/2,z'
loop_
_atom_site_label
_atom_site_type_symbol
_atom_site_fract_x
_atom_site_fract_y
_atom_site_fract_z
_atom_site_occupancy
Fe1 Fe 0.029 0.000 0.309 1
Os1 Os 0.137 0.500 0.031 1
Os2 Os 0.188 0.500 0.635 1
```

## Properties
The formation energy is 37.6 meV per atom. Its energy above the most stable polymorph in this dataset is 0 meV/atom. The value obtained for the final energy is -133.1 eV for the cell shown.

***

(3)
A plane-wave DFT calculation with PBEsol was carried out for an optimized crystal structure of Fe3Os.

Geometry as CIF:
```
data_Fe3Os
_space_group_name_H-M_alt 'P m m 2'
_space_group_IT_number 25
_cell_length_a 2.548
_cell_length_b 3.958
_cell_length_c 4.358
_cell_angle_alpha 90.00
_cell_angle_beta 90.00
_cell_angle_gamma 90.00
loop_
_space_group_symop_operation_xyz
'x,y,z'
'-x,-y,z'
'-x,y,z'
'x,-y,z'
loop_
_atom_site_label
_atom_site_type_symbol
_atom_site_fract_x
_atom_site_fract_y
_atom_site_fract_z
_atom_site_occupancy
Fe1 Fe 0.000 0.000 0.000 1
Fe2 Fe 0.000 0.500 0.323 1
Fe3 Fe 0.500 0.000 0.470 1
Os1 Os 0.500 0.500 0.816 1
```

## Properties
The formation energy is 23.7 meV per atom. The value obtained for the final energy is -39.0 eV for the cell shown.

***

(4)
A plane-wave DFT calculation with PBEsol was carried out for an optimized crystal structure of FeOs5.

Geometry as CIF:
```
data_FeOs5
_space_group_name_H-M_alt 'A m m 2'
_space_group_IT_number 38
_cell_length_a 4.251
_cell_length_b 2.704
_cell_length_c 13.977
_cell_angle_alpha 90.00
_cell_angle_beta 90.00
_cell_angle_gamma 90.00
loop_
_space_group_symop_operation_xyz
'x,y,z'
'-x,-y,z'
'-x,y,z'
'x,-y,z'
'x,y+1/2,z+1/2'
'-x,-y+1/2,z+1/2'
'-x,y+1/2,z+1/2'
'x,-y+1/2,z+1/2'
loop_
_atom_site_label
_atom_site_type_symbol
_atom_site_fract_x
_atom_site_fract_y
_atom_site_fract_z
_atom_site_occupancy
Fe1 Fe 0.000 0.000 0.000 1
Os1 Os 0.000 0.000 0.338 1
Os2 Os 0.000 0.000 0.665 1
Os3 Os 0.500 0.000 0.109 1
Os4 Os 0.500 0.000 0.448 1
Os5 Os 0.500 0.000 0.779 1
```

## Properties
The formation energy is 30.2 meV per atom. The value obtained for the final energy is -139.7 eV for the cell shown.